An optimized crystal structure of KV2FeO6, computed with GGA+U.

Values from the calculation:
The crystal system is monoclinic. As for the total energy: -69.54 eV/f.u.

abc: 10.9984 11.2839 6.0911
angles: 90.00 112.06 90.00
Space group C2/c (No. 15)
Unique sites:
K  0.0000  0.1086  0.2500
V  0.2011  0.4167  0.1727
Fe  0.0000  0.2359  0.7500
O  0.0984  0.2939  0.0715
O  0.1328  0.1156  0.7191
O  0.1711  0.4865  0.4185